# AcCeHo2

A geometry-optimized AcCeHo2 structure (GGA-PBE, Alexandria via LeMat-Bulk).

Structure (POSCAR):
```
AcCeHo2
1.0
3.548 0.000 0.000
1.774 3.073 0.000
1.774 1.024 12.500
Ac Ho Ce
1 2 1
Direct
0.000 0.000 0.000
0.094 0.094 0.718
0.906 0.906 0.282
0.500 0.500 0.500
```

Values from the calculation:
Volume: 136.3 Å³/cell
DFT formation energy: 0.210 eV per atom
Raw total energy: -18.36 eV for the cell shown
Relative energy among the computed polymorphs: 118 meV/atom
Symmetry: R-3m



# AcCeHoIn

A geometry-optimized AcCeHoIn structure (GGA-PBE, Alexandria via LeMat-Bulk).

Structure (POSCAR):
```
AcCeHoIn
1.0
5.605 0.000 0.000
2.803 4.854 0.000
2.803 1.618 4.577
Ac Ho Ce In
1 1 1 1
Direct
0.750 0.750 0.750
0.000 0.000 0.000
0.500 0.500 0.500
0.250 0.250 0.250
```

Values from the calculation:
Volume: 124.5 Å³/cell
DFT formation energy: -0.006 eV per atom
Raw total energy: -17.38 eV for the cell shown
Symmetry: F-43m



# AcCeHo2In4

A geometry-optimized AcCeHo2In4 structure (GGA-PBE, Alexandria via LeMat-Bulk).

Structure (POSCAR):
```
AcCeHo2In4
1.0
5.474 0.000 0.000
2.737 4.741 0.000
2.737 1.580 8.964
Ac Ce Ho In
1 1 2 4
Direct
0.000 0.000 0.000
0.500 0.500 0.500
0.750 0.750 0.749
0.250 0.250 0.251
0.378 0.378 0.867
0.873 0.873 0.382
0.127 0.127 0.618
0.622 0.622 0.133
```

Values from the calculation:
Volume: 232.7 Å³/cell
DFT formation energy: -0.393 eV per atom
Raw total energy: -33.30 eV for the cell shown
Symmetry: R-3m



# AcCeHoLu

A geometry-optimized AcCeHoLu structure (GGA-PBE, Alexandria via LeMat-Bulk).

Structure (POSCAR):
```
AcCeHoLu
1.0
5.785 0.000 0.000
2.892 5.010 0.000
2.892 1.670 4.723
Ac Lu Ho Ce
1 1 1 1
Direct
0.250 0.250 0.250
0.500 0.500 0.500
0.000 0.000 0.000
0.750 0.750 0.750
```

Values from the calculation:
Volume: 136.9 Å³/cell
DFT formation energy: 0.169 eV per atom
Raw total energy: -18.47 eV for the cell shown
Symmetry: F-43m



# AcCeHoMg

A geometry-optimized AcCeHoMg structure (GGA-PBE, Alexandria via LeMat-Bulk).

Structure (POSCAR):
```
AcCeHoMg
1.0
-2.712 0.765 4.952
0.588 -3.817 4.189
2.950 1.344 4.685
Mg Ac Ho Ce
1 1 1 1
Direct
0.250 0.250 0.250
0.750 0.750 0.750
0.500 0.500 0.500
0.000 0.000 0.000
```

Values from the calculation:
Volume: 130.8 Å³/cell
DFT formation energy: 0.198 eV per atom
Raw total energy: -15.42 eV for the cell shown
Symmetry: F-43m



# AcCeNdHo

A geometry-optimized AcCeNdHo structure (GGA-PBE, Alexandria via LeMat-Bulk).

Structure (POSCAR):
```
AcCeNdHo
1.0
5.881 0.000 0.000
2.940 5.093 0.000
2.940 1.698 4.802
Ac Nd Ho Ce
1 1 1 1
Direct
0.500 0.500 0.500
0.250 0.250 0.250
0.750 0.750 0.750
0.000 0.000 0.000
```

Values from the calculation:
Volume: 143.8 Å³/cell
DFT formation energy: 0.212 eV per atom
Raw total energy: -18.54 eV for the cell shown
Symmetry: F-43m



# Ac2CeHoO6

A geometry-optimized Ac2CeHoO6 structure (GGA-PBE, Alexandria via LeMat-Bulk).

Structure (POSCAR):
```
Ac2CeHoO6
1.0
6.287 -0.002 -0.105
0.002 6.097 -0.013
0.149 -0.010 8.826
Ac Ce Ho O
4 2 2 12
Direct
0.952 0.984 0.749
0.548 0.484 0.249
0.048 0.016 0.251
0.452 0.516 0.751
0.500 0.000 0.500
0.000 0.500 0.000
0.500 0.000 0.000
0.000 0.500 0.500
0.559 0.125 0.757
0.193 0.797 0.566
0.441 0.875 0.243
0.807 0.203 0.434
0.295 0.307 0.429
0.307 0.297 0.066
0.705 0.693 0.571
0.693 0.703 0.934
0.059 0.375 0.743
0.205 0.807 0.929
0.941 0.625 0.257
0.795 0.193 0.071
```

Values from the calculation:
ΔE_f (raw): -3.3621 eV per atom
Volume: 338.4 Å³/cell
Raw total energy: -164.20 eV for the cell shown
Symmetry: P2_1/c



# AcCeHo2P4

A geometry-optimized AcCeHo2P4 structure (GGA-PBE, Alexandria via LeMat-Bulk).

Structure (POSCAR):
```
AcCeHo2P4
1.0
-0.858 3.807 -1.358
-5.075 0.638 4.994
2.861 2.771 5.961
Ac Ce Ho P
1 1 2 4
Direct
0.500 0.500 0.000
0.000 0.500 0.500
0.000 0.000 0.000
0.500 0.000 0.500
0.000 0.768 0.734
0.000 0.232 0.266
0.500 0.762 0.255
0.500 0.238 0.745
```

Values from the calculation:
Volume: 199.8 Å³/cell
DFT formation energy: -1.503 eV per atom
Raw total energy: -52.86 eV for the cell shown
Symmetry: P2/m